No. 1
DFT (GGA-PBE) results for a relaxed structure of CsBaScF6.

Unit cell a=8.016 b=8.632 c=10.911 alpha=90.00 beta=90.00 gamma=90.00
Space group Imma (No. 74)
Inequivalent atoms, fractional coordinates:
1 Cs 0.000 0.250 0.096 x4
2 Ba 0.000 0.000 0.500 x4
3 Sc 0.250 0.250 0.750 x4
4 F 0.000 0.250 0.375 x4
5 F 0.000 0.250 0.694 x4
6 F 0.218 0.086 0.879 x16

Values from the calculation:
* crystal system: orthorhombic
* formation energy (no corrections): -3689 meV/atom
* spin magnetization: 0.06 μB/f.u.
* DOS at the Fermi energy: 0.000 states/eV per atom
* E_tot: -5.948 eV/atom

No. 2
DFT (GGA-PBE) results for a relaxed structure of Cs2BaSeF6.

Unit cell a=6.469 b=6.469 c=12.506 alpha=90.00 beta=90.00 gamma=90.00
Space group I4/mmm (No. 139)
Inequivalent atoms, fractional coordinates:
1 Cs 0.000 0.500 0.250 x4
2 Ba 0.000 0.000 0.000 x2
3 Se 0.000 0.000 0.500 x2
4 F 0.000 0.000 0.203 x4
5 F 0.220 0.220 0.500 x8

Values from the calculation:
* crystal system: tetragonal
* formation energy (no corrections): -2573 meV/atom
* spin magnetization: 0.00 μB/f.u.
* DOS at the Fermi energy: 0.000 states/eV per atom
* E_tot: -4.407 eV/atom

No. 3
DFT (GGA-PBE) results for a relaxed structure of CsBaSeF.

Unit cell a=5.5261 b=5.5261 c=34.3844 alpha=90.00 beta=90.00 gamma=120.00
Space group R-3m (No. 166, hexagonal axes)
Inequivalent atoms, fractional coordinates:
1 Cs 0.0000 0.0000 0.1253 x6
2 Ba 0.0000 0.0000 0.2853 x6
3 Se 0.0000 0.0000 0.3832 x6
4 F 0.0000 0.0000 0.2094 x6

Values from the calculation:
* crystal system: trigonal
* formation energy (no corrections): -2280 meV/atom
* spin magnetization: 0.00 μB/f.u.
* DOS at the Fermi energy: 0.000 states/eV per atom
* E_tot: -4.313 eV/atom

No. 4
DFT (GGA-PBE) results for a relaxed structure of Cs2BaSiF6.

Unit cell a=9.567 b=9.567 c=9.567 alpha=90.00 beta=90.00 gamma=90.00
Space group Fm-3m (No. 225)
Inequivalent atoms, fractional coordinates:
1 Cs 0.250 0.250 0.250 x8
2 Ba 0.000 0.000 0.000 x4
3 Si 0.000 0.000 0.500 x4
4 F 0.000 0.000 0.269 x24

Values from the calculation:
* crystal system: cubic
* formation energy (no corrections): -2756 meV/atom
* spin magnetization: 0.00 μB/f.u.
* DOS at the Fermi energy: 0.000 states/eV per atom
* E_tot: -4.784 eV/atom